(1)
Compound: PmY2H
Source: Alexandria
Functional: PBE
Structure: optimized geometry

Cell and atoms, written as POSCAR:
```
PmY2H
1.0
3.619 0.000 0.000
1.809 3.134 0.000
1.809 1.045 8.688
Pm Y H
1 2 1
Direct
0.500 0.500 0.501
0.054 0.054 0.838
0.280 0.280 0.159
0.666 0.666 0.002
```

Properties
Energy (eV/atom): -5.4334
Space group: R3m, No. 160
Magnetization (μB/f.u.): 0.00

***

(2)
Compound: MgS2NCl
Source: Alexandria
Functional: PBE
Structure: optimized geometry

Cell and atoms, written as POSCAR:
```
MgS2NCl
1.0
5.096 0.000 0.000
0.000 5.096 0.000
0.000 0.000 4.978
S N Mg Cl
2 1 1 1
Direct
0.000 0.500 0.000
0.500 0.000 0.000
0.500 0.500 0.500
0.000 0.000 0.000
0.000 0.000 0.500
```

Properties
Formation energy without anion corrections (eV per atom): 1.01
Space group: P4/mmm, No. 123
Magnetization (μB/f.u.): 6.01

***

(3)
Compound: PPdN2
Source: Alexandria
Functional: PBE
Structure: optimized geometry

Cell and atoms, written as POSCAR:
```
PPdN2
1.0
4.752 0.000 0.000
0.000 4.752 0.000
2.376 2.376 3.812
P Pd N
2 2 4
Direct
0.500 0.500 0.000
0.250 0.750 0.500
0.000 0.000 0.000
0.750 0.250 0.500
0.514 0.125 0.250
0.236 0.625 0.250
0.375 0.486 0.750
0.875 0.764 0.750
```

Properties
Formation energy without anion corrections (eV per atom): 0.14
Space group: I-42d, No. 122
Magnetization (μB/f.u.): 1.00

***

(4)
Compound: AcCuPbS3
Source: Alexandria
Functional: PBE
Structure: optimized geometry

Cell and atoms, written as POSCAR:
```
AcCuPbS3
1.0
4.042 0.000 0.000
0.000 8.795 0.524
0.000 -1.791 8.530
Ac Cu Pb S
2 2 2 6
Direct
0.250 0.157 0.223
0.750 0.843 0.777
0.250 0.083 0.584
0.750 0.917 0.416
0.250 0.647 0.172
0.750 0.353 0.828
0.750 0.897 0.140
0.250 0.103 0.860
0.250 0.810 0.510
0.750 0.190 0.490
0.750 0.395 0.157
0.250 0.605 0.843
```

Properties
Formation energy without anion corrections (eV per atom): -1.12
Space group: P2_1/m, No. 11
Magnetization (μB/f.u.): 0.00

***

(5)
Compound: Tl7CdHg3
Source: Alexandria
Functional: PBE
Structure: optimized geometry

Cell and atoms, written as POSCAR:
```
Tl7CdHg3
1.0
7.757 0.000 0.000
0.000 7.060 0.000
0.000 -3.530 6.114
Tl Cd Hg
7 1 3
Direct
0.102 0.163 0.837
0.102 0.163 0.326
0.117 0.667 0.333
0.474 0.838 0.162
0.474 0.325 0.162
0.474 0.838 0.675
0.102 0.674 0.837
0.435 0.333 0.667
0.779 0.492 0.508
0.779 0.492 0.985
0.779 0.015 0.508
```

Properties
Space group: P3m1, No. 156
Formation energy (meV/atom): 32
Magnetization (μB/f.u.): 0.00

***

(6)
Compound: Zr4PbO
Source: Alexandria
Functional: PBE
Structure: optimized geometry

Cell and atoms, written as POSCAR:
```
Zr4PbO
1.0
5.612 -0.129 0.000
-1.682 6.707 0.000
-1.965 -3.289 7.080
Zr Pb O
8 2 2
Direct
0.047 0.179 0.833
0.756 0.681 0.563
0.286 0.654 0.833
0.306 0.881 0.563
0.694 0.119 0.437
0.714 0.346 0.167
0.244 0.319 0.437
0.953 0.821 0.167
0.351 0.601 0.201
0.649 0.399 0.799
0.145 0.895 0.790
0.855 0.105 0.210
```

Properties
Formation energy without anion corrections (eV per atom): -0.70
Space group: C2/c, No. 15
Magnetization (μB/f.u.): 0.00

***

(7)
Compound: Ho2Er2In5
Source: Alexandria
Functional: PBE
Structure: optimized geometry

Cell and atoms, written as POSCAR:
```
Ho2Er2In5
1.0
-4.126 -1.310 5.506
-7.530 -2.201 -6.166
7.895 -5.093 0.250
Ho Er In
4 4 10
Direct
0.098 0.693 0.255
0.902 0.437 0.745
0.658 0.193 0.255
0.342 0.937 0.745
0.000 0.001 0.000
0.500 0.501 0.000
0.260 0.375 0.500
0.740 0.875 0.500
0.262 0.728 0.900
0.738 0.828 0.100
0.138 0.228 0.900
0.862 0.328 0.100
0.366 0.987 0.299
0.634 0.688 0.701
0.433 0.487 0.299
0.567 0.188 0.701
0.943 0.599 0.500
0.057 0.099 0.500
```

Properties
Space group: Ima2, No. 46
Formation energy (meV/atom): -233
Magnetization (μB/f.u.): 0.00

***

(8)
Compound: InSiRu
Source: Alexandria
Functional: PBE
Structure: optimized geometry

Cell and atoms, written as POSCAR:
```
InSiRu
1.0
-0.883 -0.894 -4.087
-0.834 -4.026 -1.176
-3.969 -1.118 -1.135
In Ru Si
1 1 1
Direct
0.500 0.500 0.500
0.750 0.750 0.750
0.000 0.000 0.000
```

Properties
Formation energy without anion corrections (eV per atom): 0.09
Space group: F-43m, No. 216
Magnetization (μB/f.u.): 0.00